Entry 1:
A relaxed LiCuTcS3 crystal, computed with PBE.

abc: 3.2865 12.1962 9.2997
angles: 90.00 90.00 90.00
With the nearest neighbours (Å) after each atom.
Space group Cmcm (No. 63)
Unique sites:
1 Li 0.0000 0.2420 0.2500  6 S 2.64-2.77, 2 Cu 2.93
2 Cu 0.0000 0.4564 0.7500  4 S 2.22-2.30
3 Tc 0.0000 0.0000 0.0000  6 S 2.43-2.56
4 S 0.0000 0.0885 0.7500  2 Cu 2.30, 2 Tc 2.56
5 S 0.0000 0.3580 0.5497  1 Cu 2.22, 2 Tc 2.43

- ΔE to the lowest computed polymorph (kJ/mol of atoms) = 5.42

---

Entry 2:
A relaxed KSnTe2AuS crystal, computed with PBE.

abc: 4.4586 13.1355 11.7988
angles: 90.00 90.00 90.00
With the nearest neighbours (Å) after each atom.
Space group Cmcm (No. 63)
Unique sites:
1 K 0.0000 0.2294 0.2500  2 S 3.44, 6 Te 3.49-3.69, 3 Au 3.60-3.71
2 Sn 0.0000 0.5000 0.0000  2 S 2.98, 4 Te 3.08
3 Te 0.0000 0.1585 0.5348  1 Au 2.95, 2 Sn 3.08
4 Au 0.0000 0.0448 0.7500  2 S 2.44
5 S 0.0000 0.4701 0.7500  2 Au 2.44

- total energy (eV per atom) = -3.50

---

Entry 3:
A relaxed GdBiSb crystal, computed with PBE.

abc: 7.3932 7.3932 7.3932
angles: 90.00 90.00 90.00
With the nearest neighbours (Å) after each atom.
Space group F-43m (No. 216)
Unique sites:
1 Gd 0.0000 0.0000 0.0000  4 Sb 3.20
2 Bi 0.0000 0.0000 0.5000  4 Sb 3.20
3 Sb 0.2500 0.2500 0.7500  4 Bi 3.20, 4 Gd 3.20

- ΔE to the lowest computed polymorph (kJ/mol of atoms) = 4.44

---

Entry 4:
A relaxed HoCoPt crystal, computed with PBE.

abc: 6.2646 6.2646 6.2646
angles: 90.00 90.00 90.00
With the nearest neighbours (Å) after each atom.
Space group F-43m (No. 216)
Unique sites:
1 Ho 0.0000 0.0000 0.0000  4 Pt 2.71, 4 Co 2.71
2 Co 0.2500 0.2500 0.7500  4 Ho 2.71
3 Pt 0.2500 0.2500 0.2500  4 Ho 2.71

- E_form (kcal/mol of atoms) = 3.37